The following is a GGA-PBE calculation of Sc2GeOs2 after structural relaxation, from Alexandria.

Cell lengths 6.471, 6.471, 4.302 Å; angles 90.00, 90.00, 90.00 degrees
Space group P4/mbm (No. 127)
Inequivalent atoms, fractional coordinates:
Sc  0.174  0.326  0.000 (multiplicity 4)
Ge  0.000  0.000  0.500 (multiplicity 2)
Os  0.137  0.637  0.500 (multiplicity 4)

The value obtained for the formation energy is -0.3348 eV per atom.